Record 1
First-principles (GGA-PBE) data for KGeC after structural relaxation, as listed in the Alexandria database.

The energy above the most stable polymorph in this dataset is 0.155 eV per atom. Its crystal system is triclinic. The spin magnetization is 0.0 μB/cell. The mass density is 2.65 Mg/m³. The uncorrected energy is -4.6644 eV/atom. As for the formation energy from the elements: 0.315 eV per atom.

It has space group P1 (No. 1), with a = 4.052 Å, b = 6.509 Å, c = 6.690 Å, α = 65.05°, β = 89.37° and γ = 77.25°. The inequivalent atoms are K at (0.000, 0.000, 0.000), K at (0.110, 0.345, 0.346), Ge at (0.406, 0.521, 0.722), Ge at (0.810, 0.814, 0.549), C at (0.512, 0.606, 0.018) and C at (0.646, 0.722, 0.843).

---

Record 2
First-principles (GGA-PBE) data for KGeC after structural relaxation, as listed in the Alexandria database.

The energy above the most stable polymorph in this dataset is 0.058 eV per atom. Its crystal system is monoclinic. The spin magnetization is 0.0 μB/cell. The mass density is 2.41 Mg/m³. The uncorrected energy is -4.7612 eV/atom. As for the formation energy from the elements: 0.218 eV per atom.

It has space group Cm (No. 8), with a = 7.861 Å, b = 8.995 Å, c = 6.012 Å, α = 90.00°, β = 126.56° and γ = 90.00°. The inequivalent atoms are K at (0.000, 0.242, 0.000), Ge at (0.098, 0.000, 0.496), Ge at (0.435, 0.000, 0.535), C at (0.227, 0.000, 0.888) and C at (0.305, 0.000, 0.143).

---

Record 3
First-principles (GGA-PBE) data for K2GeC after structural relaxation, as listed in the Alexandria database.

The energy above the most stable polymorph in this dataset is 0.000 eV per atom. Its crystal system is tetragonal. The spin magnetization is 0.1 μB/cell. The mass density is 1.90 Mg/m³. The uncorrected energy is -3.3335 eV/atom. As for the formation energy from the elements: 0.676 eV per atom.

It has space group I-42d (No. 122), with a = 12.038 Å, b = 12.038 Å, c = 3.924 Å, α = 90.00°, β = 90.00° and γ = 90.00°. The inequivalent atoms are K at (0.020, 0.250, 0.125), Ge at (0.000, 0.000, 0.500) and C at (0.000, 0.000, 0.000).

---

> What is the uncorrected energy in the third record?

-3.3335 eV/atom

---

> The lowest formation energy from the elements belongs to which entry?

number 2

---

> Which of these has the highest formation energy from the elements?

K2GeC